1.
VASP calculation (PBE) on CsTe after structural relaxation.

## Properties
Symmetry: P2_1/m
Energy relative to the elements, uncorrected: -831 meV per atom
Fermi-level density of states: 2.36 states/eV/cell
Total DFT energy (no corrections): -2.829 eV per atom

a b c (Å): 5.8288 5.8922 6.9015
angles (deg): 90.00 115.06 90.00
Last column: nearest neighbours and their distance in Å.
Atoms (fractional coordinates):
Te1 0.0397 0.2500 0.0795  2 Te 3.11
Te2 0.9603 0.7500 0.9205  2 Te 3.11
Cs1 0.6449 0.7500 0.2882  3 Te 3.71-3.95
Cs2 0.3551 0.2500 0.7118  3 Te 3.71-3.95

=====

2.
VASP calculation (PBE) on CuHg2Br after structural relaxation.

## Properties
Symmetry: R-3m
Energy above the lowest structure with this stoichiometry: 0.102 eV per atom
Energy relative to the elements, uncorrected: 9 meV per atom
Fermi-level density of states: 0.93 states/eV/cell
Total DFT energy (no corrections): -1.584 eV per atom

a b c (Å): 8.0300 8.0300 8.0300
angles (deg): 27.39 27.39 27.39
Last column: nearest neighbours and their distance in Å.
Atoms (fractional coordinates):
Hg1 0.4873 0.4873 0.4873  3 Cu 2.74
Hg2 0.0127 0.0127 0.0127  3 Cu 2.74
Cu1 0.7500 0.7500 0.7500  6 Hg 2.74
Br1 0.2500 0.2500 0.2500  6 Hg 3.13

=====

3.
VASP calculation (PBE) on La2TcGe2 after structural relaxation.

## Properties
Symmetry: I4/mmm
Energy above the lowest structure with this stoichiometry: 0.530 eV per atom
Fermi-level density of states: 2.79 states/eV/cell
Total DFT energy (no corrections): -5.915 eV per atom
Energy relative to the elements: -0.024 eV/atom

a b c (Å): 3.6474 3.6474 9.5202
angles (deg): 78.96 78.96 90.00
Last column: nearest neighbours and their distance in Å.
Atoms (fractional coordinates):
Ge1 0.7500 0.2500 0.5000  4 Ge 2.58
Ge2 0.2500 0.7500 0.5000  4 Ge 2.58
La1 0.4054 0.4054 0.1891  4 Tc 3.11, 4 Ge 3.38, 1 La 3.47
La2 0.5946 0.5946 0.8109  4 Tc 3.11, 4 Ge 3.38, 1 La 3.47
Tc1 0.0000 0.0000 0.0000  8 La 3.11

=====

4.
VASP calculation (PBE) on KNa2IrN after structural relaxation.

## Properties
Symmetry: P4/mmm
Energy relative to the elements, uncorrected: 99 meV per atom
Fermi-level density of states: 2.58 states/eV/cell
Total DFT energy (no corrections): -4.085 eV per atom

a b c (Å): 5.3399 5.3399 3.8012
angles (deg): 90.00 90.00 90.00
Last column: nearest neighbours and their distance in Å.
Atoms (fractional coordinates):
Na1 0.0000 0.5000 0.0000  2 N 2.67
Na2 0.5000 0.0000 0.0000  2 N 2.67
N1 0.0000 0.0000 0.0000  2 Ir 1.90
Ir1 0.0000 0.0000 0.5000  2 N 1.90
K1 0.5000 0.5000 0.5000  8 Na 3.28

=====

5.
VASP calculation (PBE) on AcLa2PrIn4 after structural relaxation.

## Properties
Symmetry: R-3m
Fermi-level density of states: 5.19 states/eV/cell
Total DFT energy (no corrections): -4.188 eV per atom
Energy relative to the elements: -0.475 eV/atom

a b c (Å): 5.6262 5.6262 9.7651
angles (deg): 73.26 73.26 60.00
Last column: nearest neighbours and their distance in Å.
Atoms (fractional coordinates):
In1 0.6226 0.6226 0.1323  1 Pr 3.39, 4 La 3.42-3.52, 3 Ac 3.47
In2 0.1270 0.1270 0.6190  4 La 3.40-3.47, 3 Pr 3.43, 1 Ac 3.51
In3 0.8730 0.8730 0.3810  4 La 3.40-3.47, 3 Pr 3.43, 1 Ac 3.51
In4 0.3774 0.3774 0.8677  1 Pr 3.39, 4 La 3.42-3.52, 3 Ac 3.47
La1 0.2500 0.2500 0.2500  8 In 3.40-3.52
La2 0.7500 0.7500 0.7500  8 In 3.40-3.52
Ac1 0.0000 0.0000 0.0000  8 In 3.47-3.51
Pr1 0.5000 0.5000 0.5000  8 In 3.39-3.43

=====

6.
VASP calculation (PBE) on La2Sm2Dy3 after structural relaxation.

## Properties
Symmetry: P-1
Energy above the lowest structure with this stoichiometry: 0.000 eV per atom
Fermi-level density of states: 20.93 states/eV/cell
Total DFT energy (no corrections): -4.705 eV per atom
Energy relative to the elements: 0.023 eV/atom

a b c (Å): 9.5703 6.2623 13.0819
angles (deg): 103.74 90.11 139.64
Last column: nearest neighbours and their distance in Å.
Atoms (fractional coordinates):
Dy1 0.4991 0.7110 0.4295  5 Dy 3.57-3.64, 3 Sm 3.60-3.64, 4 La 3.62-3.64
Dy2 0.9990 0.1437 0.7853  5 Sm 3.60-3.65, 4 La 3.62-3.64, 3 Dy 3.63-3.64
Dy3 0.0000 0.0000 0.5000  4 La 3.60-3.61, 6 Dy 3.61-3.63, 2 Sm 3.62
Dy4 0.5000 0.0000 0.0000  6 Sm 3.62-3.65, 4 La 3.62, 2 Dy 3.64
Dy5 0.0010 0.8563 0.2147  5 Sm 3.60-3.65, 4 La 3.62-3.64, 3 Dy 3.63-3.64
Dy6 0.5009 0.2890 0.5705  5 Dy 3.57-3.64, 3 Sm 3.60-3.64, 4 La 3.62-3.64
La1 0.0008 0.4300 0.3592  2 La 3.58-3.65, 7 Dy 3.60-3.64, 3 Sm 3.63-3.66
La2 0.4983 0.4269 0.8569  5 Sm 3.61-3.65, 5 Dy 3.62-3.64, 2 La 3.63-3.65
La3 0.5017 0.5731 0.1431  5 Sm 3.61-3.65, 5 Dy 3.62-3.64, 2 La 3.63-3.65
La4 0.9992 0.5700 0.6408  2 La 3.58-3.65, 7 Dy 3.60-3.64, 3 Sm 3.63-3.66
Sm1 0.4986 0.8527 0.7130  7 Dy 3.60-3.65, 4 La 3.61-3.64, 1 Sm 3.65
Sm2 0.0005 0.2884 0.0710  3 Sm 3.58-3.65, 5 Dy 3.60-3.65, 4 La 3.63-3.66
Sm3 0.9995 0.7116 0.9290  3 Sm 3.58-3.65, 5 Dy 3.60-3.65, 4 La 3.63-3.66
Sm4 0.5014 0.1473 0.2870  7 Dy 3.60-3.65, 4 La 3.61-3.64, 1 Sm 3.65

=====

7.
VASP calculation (PBE) on Y2PaBr after structural relaxation.

## Properties
Symmetry: R-3m
Energy relative to the elements, uncorrected: -110 meV per atom
Fermi-level density of states: 4.26 states/eV/cell
Total DFT energy (no corrections): -6.134 eV per atom

a b c (Å): 3.3519 3.3519 11.4683
angles (deg): 81.60 81.60 60.00
Last column: nearest neighbours and their distance in Å.
Atoms (fractional coordinates):
Y1 0.9038 0.9038 0.2887  3 Br 3.07, 1 Pa 3.26, 6 Y 3.35
Y2 0.0962 0.0962 0.7113  3 Br 3.07, 1 Pa 3.26, 6 Y 3.35
Br1 0.5000 0.5000 0.5000  6 Y 3.07, 6 Br 3.35
Pa1 0.0000 0.0000 0.0000  2 Y 3.26, 6 Pa 3.35

=====

8.
VASP calculation (PBE) on In2AgMo after structural relaxation.

## Properties
Symmetry: I-4m2
Energy above the lowest structure with this stoichiometry: 0.100 eV per atom
Fermi-level density of states: 2.79 states/eV/cell
Total DFT energy (no corrections): -4.440 eV per atom
Energy relative to the elements: 0.350 eV/atom

a b c (Å): 5.6051 5.6051 5.6051
angles (deg): 138.05 138.05 60.82
Last column: nearest neighbours and their distance in Å.
Atoms (fractional coordinates):
In1 0.0000 0.0000 0.0000  4 Mo 2.84, 4 Ag 3.14, 4 In 3.14
In2 0.2500 0.7500 0.5000  4 Ag 2.84, 4 In 3.14, 4 Mo 3.14
Ag1 0.7500 0.2500 0.5000  8 In 2.84-3.14, 4 Mo 3.14
Mo1 0.5000 0.5000 0.0000  8 In 2.84-3.14, 4 Ag 3.14

=====

9.
VASP calculation (PBE) on K2AcYTe4 after structural relaxation.

## Properties
Symmetry: P2/m
Energy relative to the elements, uncorrected: -1440 meV per atom
Fermi-level density of states: 0.00 states/eV/cell
Total DFT energy (no corrections): -4.607 eV per atom

a b c (Å): 4.6761 8.1109 8.6944
angles (deg): 108.04 90.00 90.00
Last column: nearest neighbours and their distance in Å.
Atoms (fractional coordinates):
Te1 0.0000 0.7214 0.2108  2 Y 3.16, 1 Ac 3.32, 1 K 3.51
Te2 0.5000 0.2567 0.2193  1 Y 3.14, 2 Ac 3.31, 2 K 3.51
Te3 0.0000 0.2786 0.7892  2 Y 3.16, 1 Ac 3.32, 1 K 3.51
Te4 0.5000 0.7433 0.7807  1 Y 3.14, 2 Ac 3.31, 2 K 3.51
K1 0.5000 0.0000 0.5000  6 Te 3.66-3.67
K2 0.0000 0.5000 0.5000  6 Te 3.51
Y1 0.5000 0.5000 0.0000  6 Te 3.14-3.16
Ac1 0.0000 0.0000 0.0000  6 Te 3.31-3.32

=====

10.
VASP calculation (PBE) on Cs2CrC after structural relaxation.

## Properties
Symmetry: Fm-3m
Fermi-level density of states: 2.60 states/eV/cell
Total DFT energy (no corrections): -3.066 eV per atom
Energy relative to the elements: 2.073 eV/atom

a b c (Å): 5.3055 5.3055 5.3055
angles (deg): 60.00 60.00 60.00
Last column: nearest neighbours and their distance in Å.
Atoms (fractional coordinates):
Cs1 0.7500 0.7500 0.7500  4 Cr 3.25, 4 C 3.25
Cs2 0.2500 0.2500 0.2500  4 Cr 3.25, 4 C 3.25
Cr1 0.5000 0.5000 0.5000  8 Cs 3.25
C1 0.0000 0.0000 0.0000  8 Cs 3.25

=====

11.
VASP calculation (PBE) on Ti2GeW after structural relaxation.

## Properties
Symmetry: P4/mmm
Fermi-level density of states: 1.81 states/eV/cell
Total DFT energy (no corrections): -8.719 eV per atom
Energy relative to the elements: -0.378 eV/atom

a b c (Å): 3.3026 3.3026 5.7888
angles (deg): 90.00 90.00 90.00
Last column: nearest neighbours and their distance in Å.
Atoms (fractional coordinates):
Ge1 0.5000 0.5000 0.5000  8 Ti 2.74, 2 W 2.89
Ti1 0.0000 0.0000 0.7485  4 Ge 2.74, 4 W 2.75, 2 Ti 2.88-2.91
Ti2 0.0000 0.0000 0.2515  4 Ge 2.74, 4 W 2.75, 2 Ti 2.88-2.91
W1 0.5000 0.5000 0.0000  8 Ti 2.75, 2 Ge 2.89

=====

12.
VASP calculation (PBE) on LiAg2Cl after structural relaxation.

## Properties
Symmetry: P4mm
Energy above the lowest structure with this stoichiometry: 0.019 eV per atom
Energy relative to the elements, uncorrected: -551 meV per atom
Fermi-level density of states: 0.64 states/eV/cell
Total DFT energy (no corrections): -2.917 eV per atom

a b c (Å): 3.3730 3.3730 7.2925
angles (deg): 90.00 90.00 90.00
Last column: nearest neighbours and their distance in Å.
Atoms (fractional coordinates):
Li1 0.5000 0.5000 0.6965  4 Cl 2.45
Cl1 0.0000 0.0000 0.6196  4 Li 2.45, 1 Ag 2.74
Ag1 0.5000 0.5000 0.1887  4 Ag 2.77
Ag2 0.0000 0.0000 0.9952  1 Cl 2.74, 4 Ag 2.77

=====

- Which value of Fermi-level density of states does entry 9 give?
  0.00 states/eV/cell

=====

Please write out number 2 again, unchanged.
VASP calculation (PBE) on CuHg2Br after structural relaxation.

## Properties
Symmetry: R-3m
Energy above the lowest structure with this stoichiometry: 0.102 eV per atom
Energy relative to the elements, uncorrected: 9 meV per atom
Fermi-level density of states: 0.93 states/eV/cell
Total DFT energy (no corrections): -1.584 eV per atom

a b c (Å): 8.0300 8.0300 8.0300
angles (deg): 27.39 27.39 27.39
Last column: nearest neighbours and their distance in Å.
Atoms (fractional coordinates):
Hg1 0.4873 0.4873 0.4873  3 Cu 2.74
Hg2 0.0127 0.0127 0.0127  3 Cu 2.74
Cu1 0.7500 0.7500 0.7500  6 Hg 2.74
Br1 0.2500 0.2500 0.2500  6 Hg 3.13